[1]
! PBE-GGA Pr5CdSe4, relaxed; values from VASP
&SYSTEM
  ibrav = 0, nat = 10, ntyp = 3
/
ATOMIC_SPECIES
Pr 140.91 Pr.upf
Cd 112.41 Cd.upf
Se 78.96 Se.upf
CELL_PARAMETERS angstrom
-5.894 -1.503 -0.470
-1.315 -5.817 -4.499
-2.287 -4.997 5.061
ATOMIC_POSITIONS crystal
Pr 0.898 0.411 0.794
Pr 0.309 0.794 0.589
Pr 0.692 0.206 0.411
Pr 0.103 0.589 0.206
Pr 0.501 0.000 0.000
Cd 0.001 0.000 0.000
Se 0.399 0.402 0.802
Se 0.801 0.802 0.598
Se 0.201 0.198 0.402
Se 0.603 0.598 0.198
! ρ: 6.63 g cm⁻³
! Energy: -5.399 eV/atom
! Formation energy without anion corrections: -1.524 eV per atom
! Crystal system: tetragonal



[2]
! PBE-GGA Nd4SnGeN, relaxed; values from VASP
&SYSTEM
  ibrav = 0, nat = 14, ntyp = 4
/
ATOMIC_SPECIES
Nd 144.24 Nd.upf
Sn 118.71 Sn.upf
Ge 72.64 Ge.upf
N 14.01 N.upf
CELL_PARAMETERS angstrom
6.874 0.000 0.000
0.000 6.880 0.000
-3.437 0.000 8.100
ATOMIC_POSITIONS crystal
Nd 0.919 0.250 0.839
Nd 0.412 0.750 0.824
Nd 0.081 0.750 0.161
Nd 0.588 0.250 0.176
Nd 0.500 0.500 0.500
Nd 0.000 0.000 0.500
Nd 0.500 0.000 0.500
Nd 0.000 0.500 0.500
Sn 0.607 0.750 0.215
Sn 0.393 0.250 0.785
Ge 0.114 0.250 0.229
Ge 0.886 0.750 0.771
N 0.245 0.750 0.489
N 0.755 0.250 0.511
! ρ: 6.78 g cm⁻³
! Energy: -5.993 eV/atom
! Formation energy without anion corrections: -0.848 eV per atom
! Crystal system: orthorhombic



[3]
! PBE-GGA Ga2CO, relaxed; values from VASP
&SYSTEM
  ibrav = 0, nat = 8, ntyp = 3
/
ATOMIC_SPECIES
C 12.01 C.upf
O 16.00 O.upf
Ga 69.72 Ga.upf
CELL_PARAMETERS angstrom
4.603 0.000 0.000
0.000 4.603 0.000
2.302 2.302 4.748
ATOMIC_POSITIONS crystal
C 0.500 0.500 0.000
C 0.250 0.750 0.500
O 0.000 0.000 0.000
O 0.750 0.250 0.500
Ga 0.603 0.125 0.250
Ga 0.147 0.625 0.250
Ga 0.375 0.397 0.750
Ga 0.875 0.853 0.750
! ρ: 5.53 g cm⁻³
! Energy: -5.624 eV/atom
! Polymorph energy (0 for the lowest one): 0.0000 eV/atom
! Formation energy without anion corrections: -0.565 eV per atom
! Crystal system: tetragonal



[4]
! PBE-GGA Sr2PH, relaxed; values from VASP
&SYSTEM
  ibrav = 0, nat = 16, ntyp = 3
/
ATOMIC_SPECIES
Sr 87.62 Sr.upf
P 30.97 P.upf
H 1.01 H.upf
CELL_PARAMETERS angstrom
-3.653 0.895 4.650
0.045 -5.866 1.164
9.619 1.517 7.266
ATOMIC_POSITIONS crystal
Sr 0.750 0.001 0.880
Sr 0.250 0.999 0.120
Sr 0.750 0.499 0.620
Sr 0.250 0.501 0.380
Sr 0.749 0.500 0.130
Sr 0.251 0.500 0.870
Sr 0.749 0.000 0.370
Sr 0.251 0.000 0.630
P 0.250 0.500 0.625
P 0.750 0.500 0.375
P 0.250 0.000 0.875
P 0.750 0.000 0.125
H 0.251 0.999 0.375
H 0.749 0.001 0.625
H 0.251 0.501 0.125
H 0.749 0.499 0.875
! ρ: 3.17 g cm⁻³
! Energy: -3.850 eV/atom
! Polymorph energy (0 for the lowest one): 0.0761 eV/atom
! Crystal system: monoclinic



What is the formula in the fourth record? Sr2PH



Which of these has the lowest ρ? Sr2PH